1.
This record from the Alexandria database describes a relaxed structure of U2Tl3SnSe6. The functional is GGA-PBE.

Computed properties:
uncorrected formation energy: -916 kJ/mol of formula units

```
data_U2Tl3SnSe6
_chemical_formula_sum 'U2 Tl3 Sn1 Se6'
_cell_length_a 7.387
_cell_length_b 7.387
_cell_length_c 8.079
_cell_angle_alpha 98.71
_cell_angle_beta 98.71
_cell_angle_gamma 119.90
_symmetry_space_group_name_H-M 'P 1'
_symmetry_Int_Tables_number 1
loop_
_symmetry_equiv_pos_as_xyz
'x,y,z'
loop_
_atom_site_label
_atom_site_type_symbol
_atom_site_fract_x
_atom_site_fract_y
_atom_site_fract_z
Se1 Se 0.418 0.069 0.207
Tl1 Tl 0.500 0.500 0.500
Se2 Se 0.582 0.931 0.793
Tl2 Tl 0.162 0.838 0.500
Tl3 Tl 0.838 0.162 0.500
Se3 Se 0.719 0.719 0.202
Se4 Se 0.281 0.281 0.798
Sn1 Sn 0.000 0.000 0.000
U1 U 0.333 0.667 0.000
U2 U 0.667 0.333 0.000
Se5 Se 0.931 0.582 0.793
Se6 Se 0.069 0.418 0.207
```


2.
This record from the Alexandria database describes a relaxed structure of BaAlI2. The functional is GGA-PBE.

Computed properties:
uncorrected formation energy: -223 kJ/mol of formula units
relative energy among the computed polymorphs: 113 meV/atom

```
data_BaAlI2
_chemical_formula_sum 'Ba2 Al2 I4'
_cell_length_a 5.900
_cell_length_b 5.900
_cell_length_c 11.444
_cell_angle_alpha 75.06
_cell_angle_beta 75.06
_cell_angle_gamma 90.00
_symmetry_space_group_name_H-M 'P 1'
_symmetry_Int_Tables_number 1
loop_
_symmetry_equiv_pos_as_xyz
'x,y,z'
loop_
_atom_site_label
_atom_site_type_symbol
_atom_site_fract_x
_atom_site_fract_y
_atom_site_fract_z
Al1 Al 0.250 0.750 0.500
Ba1 Ba 0.000 0.000 0.000
Al2 Al 0.500 0.500 0.000
I1 I 0.375 0.392 0.750
Ba2 Ba 0.750 0.250 0.500
I2 I 0.875 0.858 0.750
I3 I 0.608 0.125 0.250
I4 I 0.142 0.625 0.250
```


3.
This record from the Alexandria database describes a relaxed structure of Np2HgI8. The functional is GGA-PBE.

Computed properties:
uncorrected formation energy: -697 kJ/mol of formula units

```
data_Np2HgI8
_chemical_formula_sum 'Np2 Hg1 I8'
_cell_length_a 8.557
_cell_length_b 9.499
_cell_length_c 8.557
_cell_angle_alpha 102.83
_cell_angle_beta 116.85
_cell_angle_gamma 77.17
_symmetry_space_group_name_H-M 'P 1'
_symmetry_Int_Tables_number 1
loop_
_symmetry_equiv_pos_as_xyz
'x,y,z'
loop_
_atom_site_label
_atom_site_type_symbol
_atom_site_fract_x
_atom_site_fract_y
_atom_site_fract_z
I1 I 0.180 0.241 0.820
Np1 Np 0.750 0.499 0.250
Np2 Np 0.250 0.501 0.750
Hg1 Hg 0.000 0.000 0.000
I2 I 0.143 0.368 0.359
I3 I 0.319 0.761 0.681
I4 I 0.641 0.368 0.857
I5 I 0.820 0.759 0.180
I6 I 0.857 0.632 0.641
I7 I 0.359 0.632 0.143
I8 I 0.681 0.239 0.319
```


4.
This record from the Alexandria database describes a relaxed structure of Sc8Ta. The functional is GGA-PBE.

Computed properties:
ΔH_f (0 K): 0.083 eV/atom

```
data_Sc8Ta
_chemical_formula_sum 'Sc8 Ta1'
_cell_length_a 4.535
_cell_length_b 7.180
_cell_length_c 7.180
_cell_angle_alpha 95.72
_cell_angle_beta 108.41
_cell_angle_gamma 71.59
_symmetry_space_group_name_H-M 'P 1'
_symmetry_Int_Tables_number 1
loop_
_symmetry_equiv_pos_as_xyz
'x,y,z'
loop_
_atom_site_label
_atom_site_type_symbol
_atom_site_fract_x
_atom_site_fract_y
_atom_site_fract_z
Sc1 Sc 0.000 0.677 0.677
Sc2 Sc 0.342 0.316 0.000
Sc3 Sc 0.323 0.677 0.323
Sc4 Sc 0.342 0.000 0.684
Ta1 Ta 0.000 0.000 0.000
Sc5 Sc 0.677 0.323 0.677
Sc6 Sc 0.000 0.323 0.323
Sc7 Sc 0.658 0.684 0.000
Sc8 Sc 0.658 0.000 0.316
```


5.
This record from the Alexandria database describes a relaxed structure of Sm2Zn4Ag5. The functional is GGA-PBE.

Computed properties:
ΔH_f (0 K): -0.162 eV/atom

```
data_Sm2Zn4Ag5
_chemical_formula_sum 'Sm2 Zn4 Ag5'
_cell_length_a 5.574
_cell_length_b 6.852
_cell_length_c 6.850
_cell_angle_alpha 77.68
_cell_angle_beta 65.99
_cell_angle_gamma 66.00
_symmetry_space_group_name_H-M 'P 1'
_symmetry_Int_Tables_number 1
loop_
_symmetry_equiv_pos_as_xyz
'x,y,z'
loop_
_atom_site_label
_atom_site_type_symbol
_atom_site_fract_x
_atom_site_fract_y
_atom_site_fract_z
Zn1 Zn 0.756 0.904 0.583
Sm1 Sm 0.711 0.289 0.289
Ag1 Ag 0.248 0.185 0.815
Ag2 Ag 0.752 0.815 0.185
Ag3 Ag 0.752 0.185 0.815
Zn2 Zn 0.244 0.417 0.096
Ag4 Ag 0.248 0.815 0.185
Zn3 Zn 0.756 0.583 0.904
Zn4 Zn 0.244 0.096 0.417
Sm2 Sm 0.289 0.711 0.711
Ag5 Ag 0.000 0.500 0.500
```


6.
This record from the Alexandria database describes a relaxed structure of YSc2BiN. The functional is GGA-PBE.

Computed properties:
uncorrected formation energy: -465 kJ/mol of formula units

```
data_YSc2BiN
_chemical_formula_sum 'Y1 Sc2 Bi1 N1'
_cell_length_a 4.494
_cell_length_b 4.494
_cell_length_c 4.963
_cell_angle_alpha 90.00
_cell_angle_beta 90.00
_cell_angle_gamma 90.00
_symmetry_space_group_name_H-M 'P 1'
_symmetry_Int_Tables_number 1
loop_
_symmetry_equiv_pos_as_xyz
'x,y,z'
loop_
_atom_site_label
_atom_site_type_symbol
_atom_site_fract_x
_atom_site_fract_y
_atom_site_fract_z
Y1 Y 0.000 0.000 0.500
N1 N 0.000 0.000 0.000
Sc1 Sc 0.500 0.000 0.000
Sc2 Sc 0.000 0.500 0.000
Bi1 Bi 0.500 0.500 0.500
```


7.
This record from the Alexandria database describes a relaxed structure of BaCoPRh2. The functional is GGA-PBE.

Computed properties:
ΔH_f (0 K): 0.431 eV/atom

```
data_BaCoPRh2
_chemical_formula_sum 'Ba1 Co1 P1 Rh2'
_cell_length_a 4.392
_cell_length_b 5.921
_cell_length_c 4.392
_cell_angle_alpha 90.00
_cell_angle_beta 90.00
_cell_angle_gamma 90.00
_symmetry_space_group_name_H-M 'P 1'
_symmetry_Int_Tables_number 1
loop_
_symmetry_equiv_pos_as_xyz
'x,y,z'
loop_
_atom_site_label
_atom_site_type_symbol
_atom_site_fract_x
_atom_site_fract_y
_atom_site_fract_z
P1 P 0.000 0.000 0.000
Co1 Co 0.500 0.500 0.500
Rh1 Rh 0.500 0.000 0.000
Rh2 Rh 0.000 0.000 0.500
Ba1 Ba 0.000 0.500 0.000
```


8.
This record from the Alexandria database describes a relaxed structure of SbTeI2. The functional is GGA-PBE.

Computed properties:
uncorrected formation energy: 54 kJ/mol of formula units
relative energy among the computed polymorphs: 242 meV/atom

```
data_SbTeI2
_chemical_formula_sum 'Sb2 Te2 I4'
_cell_length_a 11.116
_cell_length_b 11.116
_cell_length_c 8.393
_cell_angle_alpha 48.53
_cell_angle_beta 48.53
_cell_angle_gamma 90.00
_symmetry_space_group_name_H-M 'P 1'
_symmetry_Int_Tables_number 1
loop_
_symmetry_equiv_pos_as_xyz
'x,y,z'
loop_
_atom_site_label
_atom_site_type_symbol
_atom_site_fract_x
_atom_site_fract_y
_atom_site_fract_z
I1 I 0.482 0.125 0.250
Sb1 Sb 0.500 0.500 0.000
Sb2 Sb 0.250 0.750 0.500
I2 I 0.375 0.518 0.750
Te1 Te 0.750 0.250 0.500
I3 I 0.268 0.625 0.250
I4 I 0.875 0.732 0.750
Te2 Te 0.000 0.000 0.000
```


Record-wise Fermi-level density of states values, in states/eV/f.u.: 14.26; 6.09; 14.67; 13.95; 6.56; 6.04; 10.11; 2.07